(1)
Compound: AcPr5Dy2Er
Source: the Alexandria database
Functional: PBE
Structure: relaxed

Output
DOS(E_F) = 45.90 states/eV/cell
electronic total energy = -162.00 eV per cell

Unit cell a=5.600 b=24.643 c=9.549 alpha=90.00 beta=90.00 gamma=90.00
Space group Cmc2_1 (No. 36)
One atom of each set of equivalent atoms:
Ac  0.000  0.102  0.000 (multiplicity 4)
Pr  0.000  0.024  0.328 (multiplicity 4)
Pr  0.000  0.107  0.606 (multiplicity 4)
Pr  0.000  0.190  0.295 (multiplicity 4)
Pr  0.000  0.241  0.934 (multiplicity 4)
Pr  0.000  0.490  0.112 (multiplicity 4)
Dy  0.000  0.326  0.250 (multiplicity 4)
Dy  0.000  0.388  0.857 (multiplicity 4)
Er  0.000  0.264  0.608 (multiplicity 4)



(2)
Compound: AcPr2Dy4Er
Source: the Alexandria database
Functional: PBE
Structure: relaxed

Output
DOS(E_F) = 74.54 states/eV/cell
electronic total energy = -133.14 eV per cell

Unit cell a=13.856 b=13.470 c=6.930 alpha=90.00 beta=120.00 gamma=90.00
Space group C2/c (No. 15)
One atom of each set of equivalent atoms:
Ac  0.250  0.250  0.000 (multiplicity 4)
Pr  0.000  0.000  0.000 (multiplicity 4)
Pr  0.250  0.250  0.500 (multiplicity 4)
Dy  0.000  0.257  0.012 (multiplicity 8)
Dy  0.243  0.492  0.492 (multiplicity 8)
Er  0.000  0.500  0.000 (multiplicity 4)



(3)
Compound: AcPr5DyEr2
Source: the Alexandria database
Functional: PBE
Structure: relaxed

Output
DOS(E_F) = 46.49 states/eV/cell
electronic total energy = -161.76 eV per cell

Unit cell a=5.589 b=24.576 c=9.562 alpha=90.00 beta=90.00 gamma=90.00
Space group Cmc2_1 (No. 36)
One atom of each set of equivalent atoms:
Ac  0.000  0.102  0.000 (multiplicity 4)
Pr  0.000  0.025  0.330 (multiplicity 4)
Pr  0.000  0.107  0.607 (multiplicity 4)
Pr  0.000  0.189  0.297 (multiplicity 4)
Pr  0.000  0.241  0.933 (multiplicity 4)
Pr  0.000  0.490  0.115 (multiplicity 4)
Dy  0.000  0.264  0.607 (multiplicity 4)
Er  0.000  0.325  0.248 (multiplicity 4)
Er  0.000  0.388  0.862 (multiplicity 4)



(4)
Compound: AcPr4Dy2Er
Source: the Alexandria database
Functional: PBE
Structure: relaxed

Output
DOS(E_F) = 24.96 states/eV/cell
electronic total energy = -73.45 eV per cell

Unit cell a=11.606 b=5.213 c=10.452 alpha=90.00 beta=116.74 gamma=90.00
Space group C2/m (No. 12)
One atom of each set of equivalent atoms:
Ac  0.000  0.000  0.000 (multiplicity 2)
Pr  0.247  0.000  0.869 (multiplicity 4)
Pr  0.249  0.500  0.621 (multiplicity 4)
Dy  0.001  0.500  0.743 (multiplicity 4)
Er  0.000  0.000  0.500 (multiplicity 2)